This record from the Alexandria database describes a relaxed Ta2Nb3Au crystal. The functional is PBE.

Lattice parameters (Å, degrees): 3.3721 3.3721 9.6111 90.00 90.00 90.00
Space group P4/mmm (No. 123)
Symmetry-distinct sites (fractional):
Ta (0.0000, 0.0000, 0.1700) x2
Nb (0.5000, 0.5000, 0.0000) x1
Nb (0.5000, 0.5000, 0.3280) x2
Au (0.0000, 0.0000, 0.5000) x1

Total DFT energy (no corrections), eV/atom: -9.565
ΔH_f (0 K), eV/f.u.: -0.20
Mass density, g/cm3: 12.73


This record from the Alexandria database describes a relaxed Ho5Hg2PdRh2 crystal. The functional is PBE.

Lattice parameters (Å, degrees): 11.5071 11.5071 3.5914 90.00 90.00 90.00
Space group P4/mbm (No. 127)
Symmetry-distinct sites (fractional):
Ho (0.0000, 0.5000, 0.0000) x2
Ho (0.0830, 0.1952, 0.0000) x8
Hg (0.1713, 0.6713, 0.5000) x4
Pd (0.0000, 0.0000, 0.5000) x2
Rh (0.1323, 0.3677, 0.5000) x4

Total DFT energy (no corrections), eV/atom: -4.979
ΔH_f (0 K), eV/f.u.: -6.41
Mass density, g/cm3: 10.74


This record from the Alexandria database describes a relaxed CrCuPd6 crystal. The functional is PBE.

Lattice parameters (Å, degrees): 5.5457 9.7044 5.4263 90.00 118.73 90.00
Space group C2/m (No. 12)
Symmetry-distinct sites (fractional):
Cr (0.0000, 0.0000, 0.0000) x2
Cu (0.0000, 0.0000, 0.5000) x2
Pd (0.0008, 0.2226, 0.7497) x8
Pd (0.0073, 0.5000, 0.7561) x4

Energy relative to the lowest polymorph listed for this composition, meV/atom: 307
Total DFT energy (no corrections), eV/atom: -5.369
ΔH_f (0 K), eV/f.u.: 1.93
Mass density, g/cm3: 9.78


This record from the Alexandria database describes a relaxed SbW3 crystal. The functional is PBE.

Lattice parameters (Å, degrees): 6.7525 9.3042 4.5565 90.00 90.00 90.00
Space group Cmcm (No. 63)
Symmetry-distinct sites (fractional):
Sb (0.0000, 0.1373, 0.2500) x4
W (0.0000, 0.3300, 0.7500) x4
W (0.2046, 0.4154, 0.2500) x8

Energy relative to the lowest polymorph listed for this composition, meV/atom: 100
Total DFT energy (no corrections), eV/atom: -10.166
Formation energy (no corrections), meV/atom: 579.1
Mass density, g/cm3: 15.62


This record from the Alexandria database describes a relaxed Na2AuBr6 crystal. The functional is PBE.

Lattice parameters (Å, degrees): 7.3189 7.1581 12.0671 90.00 121.47 90.00
Space group P2_1/c (No. 14)
Symmetry-distinct sites (fractional):
Na (0.1579, 0.1523, 0.1856) x4
Au (0.5000, 0.0000, 0.0000) x2
Br (0.1149, 0.1984, 0.9133) x4
Br (0.3037, 0.6964, 0.9755) x4
Br (0.4036, 0.5324, 0.2661) x4

Energy relative to the lowest polymorph listed for this composition, meV/atom: 5
Total DFT energy (no corrections), eV/atom: -2.440
Formation energy (no corrections), meV/atom: -667.8
Mass density, g/cm3: 4.45


This record from the Alexandria database describes a relaxed HfScTaMo crystal. The functional is PBE.

Lattice parameters (Å, degrees): 6.7317 6.7317 6.7317 90.00 90.00 90.00
Space group F-43m (No. 216)
Symmetry-distinct sites (fractional):
Hf (0.0000, 0.0000, 0.0000) x4
Sc (0.2500, 0.2500, 0.7500) x4
Ta (0.0000, 0.0000, 0.5000) x4
Mo (0.2500, 0.2500, 0.2500) x4

Total DFT energy (no corrections), eV/atom: -9.636
ΔH_f (0 K), eV/f.u.: 0.42
Mass density, g/cm3: 10.89


This record from the Alexandria database describes a relaxed LiTb5Sn3 crystal. The functional is PBE.

Lattice parameters (Å, degrees): 9.2669 9.2669 6.5460 90.00 90.00 120.00
Space group P6_3/mcm (No. 193)
Symmetry-distinct sites (fractional):
Li (0.0000, 0.0000, 0.0000) x2
Tb (0.0000, 0.2856, 0.2500) x6
Tb (0.3333, 0.6667, 0.0000) x4
Sn (0.0000, 0.3693, 0.7500) x6

Total DFT energy (no corrections), eV/atom: -4.704
ΔH_f (0 K), eV/f.u.: -5.26
Mass density, g/cm3: 7.90


This record from the Alexandria database describes a relaxed MgFeRh2N crystal. The functional is PBE.

Lattice parameters (Å, degrees): 4.1674 4.1674 3.7155 90.00 90.00 90.00
Space group P4/mmm (No. 123)
Symmetry-distinct sites (fractional):
Mg (0.0000, 0.0000, 0.0000) x1
Fe (0.5000, 0.5000, 0.0000) x1
Rh (0.0000, 0.5000, 0.5000) x2
N (0.5000, 0.5000, 0.5000) x1

Total DFT energy (no corrections), eV/atom: -6.777
Formation energy (no corrections), meV/atom: -159.6
Mass density, g/cm3: 7.72


> Which of these has the lowest mass density?

Na2AuBr6


What did the sixth record say?
This record from the Alexandria database describes a relaxed HfScTaMo crystal. The functional is PBE.

Lattice parameters (Å, degrees): 6.7317 6.7317 6.7317 90.00 90.00 90.00
Space group F-43m (No. 216)
Symmetry-distinct sites (fractional):
Hf (0.0000, 0.0000, 0.0000) x4
Sc (0.2500, 0.2500, 0.7500) x4
Ta (0.0000, 0.0000, 0.5000) x4
Mo (0.2500, 0.2500, 0.2500) x4

Total DFT energy (no corrections), eV/atom: -9.636
ΔH_f (0 K), eV/f.u.: 0.42
Mass density, g/cm3: 10.89


> Which formula does entry 1 have?

Ta2Nb3Au